This record from Alexandria via LeMat-Bulk describes a geometry-optimized Sr2Cd3In structure. The functional is PBE.

The structure in POSCAR format:
```
Sr2Cd3In
1.0
4.6695 0.0000 1.9556
2.1047 5.9422 1.5271
0.0394 -0.1424 6.4586
In Cd Sr
1 3 2
Direct
0.1638 0.3897 0.2828 In
0.8368 0.2103 0.1162 Cd
0.1642 0.7811 0.8905 Cd
0.8361 0.6168 0.7110 Cd
0.4582 0.7936 0.2900 Sr
0.5410 0.2085 0.7095 Sr
```

Properties
E above lowest polymorph, meV per atom: 0
Final energy, eV per cell: -11.15
ΔH_f (0 K), kcal/mol of atoms: -8.8